1.
This record from the Alexandria database describes a geometry-optimized BeTeO3 structure. The functional is GGA-PBE.

```
BeTeO3
1.0
3.514 0.000 0.000
-1.757 4.811 -0.723
0.000 -2.485 10.465
O Te Be
6 2 2
Cartesian
1.757 0.228 8.409 O
1.757 4.201 0.938 O
0.000 2.414 6.463 O
0.000 -1.875 8.804 O
1.757 -0.088 3.279 O
0.000 2.098 1.333 O
0.000 0.933 2.822 Te
1.757 1.393 6.920 Te
0.000 3.642 1.273 Be
1.757 -1.316 8.469 Be
```

Output
E_form (uncorrected) ... -1.36 eV/atom
M_tot ... 0.0 μB/cell
Theoretical density ... 3.6 g/cm³

---

2.
This record from the Alexandria database describes a geometry-optimized V2PS structure. The functional is GGA-PBE.

```
V2PS
1.0
-0.450 -0.603 -3.696
2.788 -1.554 -2.011
-1.466 -6.273 -0.722
P V S
1 2 1
Cartesian
0.436 -4.215 -3.214 P
-0.666 -4.293 -1.143 V
1.537 -4.137 -5.286 V
0.000 0.000 0.000 S
```

Output
Distance to the lowest polymorph of the same formula ... 0.260 eV/atom
E_form (uncorrected) ... -0.40 eV/atom
M_tot ... 0.0 μB/cell
Theoretical density ... 3.6 g/cm³

---

3.
This record from the Alexandria database describes a geometry-optimized Al2In2N structure. The functional is GGA-PBE.

```
Al2In2N
1.0
-5.244 0.387 3.081
1.895 -4.391 3.777
2.229 3.813 3.314
Al In N
4 4 2
Cartesian
-2.640 0.745 5.518 Al
-0.766 -1.519 6.862 Al
-0.354 1.328 3.310 Al
1.521 -0.936 4.654 Al
-3.183 -0.478 2.690 In
-0.248 -1.395 1.772 In
-3.100 -2.609 5.086 In
-0.165 -3.527 4.169 In
0.000 0.000 0.000 N
-1.674 -2.002 3.429 N
```

Output
E_form (uncorrected) ... 0.68 eV/atom
M_tot ... 0.0 μB/cell
Theoretical density ... 4.8 g/cm³

---

4.
This record from the Alexandria database describes a geometry-optimized CrCdFe2 structure. The functional is GGA-PBE.

```
CrCdFe2
1.0
-2.512 0.579 0.432
0.115 -1.732 -1.955
-0.502 -6.349 5.594
Fe Cr Cd
2 1 1
Cartesian
-1.310 -1.982 0.477 Fe
-0.502 -6.344 5.589 Fe
-1.591 -5.535 3.607 Cr
-0.250 -3.165 2.788 Cd
```

Output
M_tot ... 4.1 μB/cell
Formation enthalpy at 0 K ... 1.4 eV per formula unit
Theoretical density ... 8.3 g/cm³